First-principles (PBE with a Hubbard U) data for LaPuMnO6 after structural relaxation, as listed in Alexandria via LeMat-Bulk.

```
LaPuMnO6
1.0
5.4660 0.0000 0.0000
-2.7330 4.7337 0.0000
0.0000 0.0000 10.4178
La Pu Mn O
2 2 2 12
direct
0.0000 0.0000 0.0000
0.0000 0.0000 0.5000
0.3333 0.6667 0.2500
0.6667 0.3333 0.7500
0.3333 0.6667 0.7500
0.6667 0.3333 0.2500
0.0160 0.3654 0.1416
0.0160 0.6506 0.3584
0.3494 0.3654 0.3584
0.3494 0.9840 0.1416
0.3654 0.0160 0.6416
0.3654 0.3494 0.8584
0.6346 0.6506 0.1416
0.6346 0.9840 0.3584
0.6506 0.0160 0.8584
0.6506 0.6346 0.6416
0.9840 0.3494 0.6416
0.9840 0.6346 0.8584
```

Values from the calculation:
magnetic moment: 12.0 Bohr magnetons per cell
ρ: 6.58 g/cm3
Fermi-level density of states: 1.246 states/eV per cell
crystal system: trigonal
electronic total energy: -8.830 eV/atom